Entry 1:
Er2Zn12InCu3 | PBE | relaxed

Results
**D(E_F)**: 26.0 states/eV/cell
**Calculated formation energy**: 235.8 meV per atom
**Final energy**: -1.9553 eV/atom
**V**: 1178.4 Å³ per cell

Cell: 8.3440 8.3440 19.5444 Å, 90.00 90.00 120.00°
Space group R-3m (No. 166, hexagonal axes)
Unique sites:
Er: 0.0000 0.0000 0.0880 (multiplicity 6)
Zn: 0.0170 0.5085 0.3380 (multiplicity 18)
Zn: 0.1036 0.5518 0.8817 (multiplicity 18)
In: 0.0000 0.0000 0.5000 (multiplicity 3)
Cu: 0.0000 0.5000 0.0000 (multiplicity 9)

Entry 2:
Mg2SiAg | PBE | relaxed

Results
**D(E_F)**: 3.1 states/eV/cell
**Formation energy (no corrections)**: -0.026 eV per atom
**Final energy**: -2.8916 eV/atom
**V**: 148.7 Å³ per cell

Cell: 10.388 3.112 4.773 Å, 90.00 105.58 90.00°
Space group Cm (No. 8)
Unique sites:
Mg: 0.000 0.000 0.000 (multiplicity 2)
Mg: 0.214 0.000 0.647 (multiplicity 2)
Si: 0.249 0.500 0.165 (multiplicity 2)
Ag: 0.461 0.000 0.481 (multiplicity 2)

Entry 3:
TlInBr2 | PBE | relaxed

Results
**ΔE to the lowest computed polymorph**: 0.309 eV per atom
**Formation energy (no corrections)**: -0.445 eV per atom
**Final energy**: -2.5573 eV/atom
**V**: 503.7 Å³ per cell

Cell: 7.957 7.957 7.957 Å, 90.00 90.00 90.00°
Space group F-43m (No. 216)
Unique sites:
Tl: 0.000 0.000 0.000 (multiplicity 4)
In: 0.250 0.250 0.750 (multiplicity 4)
Br: 0.000 0.000 0.500 (multiplicity 4)
Br: 0.250 0.250 0.250 (multiplicity 4)